Compound: PuCo2BiO6
Source: Alexandria via LeMat-Bulk
Functional: PBE with a Hubbard U
Structure: relaxed

Cell: 5.549 5.549 5.917 Å, 62.04 62.03 60.00°
Site moments in Bohr magnetons follow the coordinates.
Sites, in units of the cell vectors:
Pu 0.317 0.317 0.048  3.55
Co 0.018 0.018 0.946  2.68
Co 0.529 0.529 0.414  2.69
O 0.371 0.721 0.763  -0.02
O 0.145 0.371 0.763  -0.02
O 0.613 0.236 0.247  0.01
O 0.236 0.904 0.247  0.00
O 0.721 0.145 0.763  -0.02
O 0.904 0.612 0.248  0.00
Bi 0.808 0.808 0.575  0.01

Computed properties:
- M_tot: 9.00 μB/f.u.
- Crystal system: trigonal
- Energy: -0.54737 Ry/atom